# BeSbSe

BeSbSe after structural relaxation (GGA-PBE, Alexandria via LeMat-Bulk).

Lattice parameters (Å, degrees): 6.240 6.240 6.240 149.45 149.45 43.76
Positions (direct):
Be1 0.043 0.043 0.000
Sb1 0.358 0.358 0.000
Se1 0.599 0.599 0.000

Calculated values
The energy is -10.8 eV per formula unit. For the offset from the most stable computed form, the calculation gives 580.4 meV/atom. The space group is I4mm, No. 107. The value obtained for the magnetic moment is 0.0 Bohr magnetons per cell.

---

# BeSbSe2

BeSbSe2 after structural relaxation (GGA-PBE, Alexandria via LeMat-Bulk).

Lattice parameters (Å, degrees): 3.235 3.235 8.486 90.00 90.00 90.00
Positions (direct):
Se1 0.500 0.500 0.401
Se2 0.000 0.000 0.064
Be1 0.000 0.000 0.319
Sb1 0.500 0.500 0.716

Calculated values
The energy is -15.1 eV per formula unit. For the offset from the most stable computed form, the calculation gives 177.1 meV/atom. The space group is P4mm, No. 99. The value obtained for the magnetic moment is 0.0 Bohr magnetons per cell.

---

# BeSbSe

BeSbSe after structural relaxation (GGA-PBE, Alexandria via LeMat-Bulk).

Lattice parameters (Å, degrees): 6.715 6.136 3.729 81.87 64.78 33.35
Positions (direct):
Se1 0.618 0.618 0.382
Be1 0.019 0.019 0.981
Sb1 0.363 0.363 0.637

Calculated values
The energy is -11.0 eV per formula unit. For the offset from the most stable computed form, the calculation gives 528.5 meV/atom. The space group is Fmm2, No. 42. The value obtained for the magnetic moment is 0.0 Bohr magnetons per cell.

---

# BeSbSe2

BeSbSe2 after structural relaxation (GGA-PBE, Alexandria via LeMat-Bulk).

Lattice parameters (Å, degrees): 7.313 7.313 7.313 28.78 28.78 28.78
Positions (direct):
Se1 0.522 0.522 0.522
Se2 0.978 0.978 0.978
Sb1 0.750 0.750 0.750
Be1 0.250 0.250 0.250

Calculated values
The energy is -15.1 eV per formula unit. For the offset from the most stable computed form, the calculation gives 169.8 meV/atom. The space group is R-3m, No. 166. The value obtained for the magnetic moment is 0.0 Bohr magnetons per cell.

---

# BeSbSe2

BeSbSe2 after structural relaxation (GGA-PBE, Alexandria via LeMat-Bulk).

Lattice parameters (Å, degrees): 3.669 6.059 4.693 77.53 90.00 90.00
Positions (direct):
Be1 0.000 0.490 0.332
Sb1 0.500 0.846 0.579
Se1 0.000 0.829 0.060
Se2 0.500 0.334 0.529

Calculated values
The energy is -15.8 eV per formula unit. For the offset from the most stable computed form, the calculation gives 0.0 meV/atom. The space group is Pm, No. 6. The value obtained for the magnetic moment is 0.0 Bohr magnetons per cell.

---

# Be2SbSe

Be2SbSe after structural relaxation (GGA-PBE, Alexandria via LeMat-Bulk).

Lattice parameters (Å, degrees): 6.087 6.087 6.087 149.14 79.93 108.45
Positions (direct):
Be1 0.467 0.467 0.000
Be2 0.033 0.033 0.000
Se1 0.250 0.750 0.500
Sb1 0.750 0.250 0.500

Calculated values
The energy is -13.6 eV per formula unit. For the offset from the most stable computed form, the calculation gives 622.9 meV/atom. The space group is Immm, No. 71. The value obtained for the magnetic moment is 0.0 Bohr magnetons per cell.

---

# Be2SbSe

Be2SbSe after structural relaxation (GGA-PBE, Alexandria via LeMat-Bulk).

Lattice parameters (Å, degrees): 6.550 6.550 6.550 148.98 148.98 44.45
Positions (direct):
Be1 0.250 0.750 0.500
Be2 0.000 0.000 0.000
Se1 0.750 0.250 0.500
Sb1 0.500 0.500 0.000

Calculated values
The energy is -13.1 eV per formula unit. For the offset from the most stable computed form, the calculation gives 752.8 meV/atom. The space group is I-4m2, No. 119. The value obtained for the magnetic moment is 0.0 Bohr magnetons per cell.

---

# BeSbSe2

BeSbSe2 after structural relaxation (GGA-PBE, Alexandria via LeMat-Bulk).

Lattice parameters (Å, degrees): 8.579 8.579 8.579 23.10 23.10 23.10
Positions (direct):
Be1 0.500 0.500 0.500
Se1 0.113 0.113 0.113
Se2 0.887 0.887 0.887
Sb1 0.000 0.000 0.000

Calculated values
The energy is -15.3 eV per formula unit. For the offset from the most stable computed form, the calculation gives 129.1 meV/atom. The space group is R-3m, No. 166. The value obtained for the magnetic moment is 0.0 Bohr magnetons per cell.

---

| no. | DOS at the Fermi energy (states/eV/atom) | formation energy (no corrections) (kcal/mol of atoms) |
| --- | --- | --- |
| 1 | 0.33 | 4.09 |
| 2 | 0.50 | -1.71 |
| 3 | 0.40 | 2.90 |
| 4 | 0.29 | -1.88 |
| 5 | 0.30 | -5.79 |
| 6 | 0.30 | 8.57 |
| 7 | 0.52 | 11.57 |
| 8 | 0.63 | -2.82 |